Arrangement one

Entry from Alexandria: YCoP2 after structural relaxation (GGA-PBE).

```
YCoP2
1.0
4.509 0.000 0.000
0.000 4.509 0.000
2.255 2.255 7.201
Y P Co
2 4 2
Direct
0.750 0.250 0.500
0.000 0.000 0.000
0.875 0.715 0.750
0.465 0.125 0.250
0.375 0.535 0.750
0.285 0.625 0.250
0.250 0.750 0.500
0.500 0.500 0.000
```


Arrangement two

Entry from Alexandria: YCoP2 after structural relaxation (GGA-PBE).

```
YCoP2
1.0
-3.321 3.673 1.761
-4.491 -1.568 2.235
5.122 -1.106 0.407
Co Y P
1 1 2
Direct
0.750 0.250 0.500
0.500 0.500 0.000
0.250 0.750 0.500
0.000 0.000 0.000
```


Arrangement three

Entry from Alexandria: YCoP2 after structural relaxation (GGA-PBE).

```
YCoP2
1.0
-0.352 -3.577 -0.913
2.601 -2.436 1.024
-1.893 -2.906 4.598
Co P Y
1 2 1
Direct
0.250 0.250 0.250
0.973 0.973 0.080
0.527 0.527 0.420
0.750 0.750 0.750
```


From most stable to least stable, the computed energies give arrangement three, arrangement one, arrangement two.